A plane-wave DFT calculation with GGA-PBE was carried out for a relaxed YBePt crystal.

Geometry as POSCAR:
```
YBePt
1.0
-3.636 1.174 1.240
1.250 -3.750 0.712
1.547 1.167 3.430
Y Be Pt
1 1 1
direct
0.333 0.667 0.667
0.000 0.000 0.166
0.667 0.333 0.167
```

Computed properties:
* electronic total energy: -6.27 eV/atom
* formation enthalpy at 0 K: -0.859 eV per atom
* magnetic moment: 0.00 μB/f.u.